[1]
Ac12SbRu6 | PBE-GGA | relaxed

Values from the calculation:
Uncorrected energy: -0.4367 Ry per atom
ΔE_f (raw): -369 kJ/mol of formula units
Spin magnetization: 0.000 μB/atom
D(E_F): 18.82 states/eV/f.u.
Space-group type: No. 204

```
Ac12SbRu6
1.0
8.7822 0.0000 -3.1050
-4.3911 7.6056 -3.1050
0.0000 0.0000 9.3149
Ac Ru Sb
12 6 1
Direct
0.8096 0.6926 0.5022
0.3074 0.4978 0.1904
0.3074 0.1170 0.8096
0.4978 0.1904 0.3074
0.8096 0.3074 0.1170
0.5022 0.8096 0.6926
0.6926 0.5022 0.8096
0.8830 0.1904 0.6926
0.6926 0.8830 0.1904
0.1904 0.6926 0.8830
0.1904 0.3074 0.4978
0.1170 0.8096 0.3074
0.3812 0.5000 0.8812
0.8812 0.3812 0.5000
0.5000 0.8812 0.3812
0.6188 0.5000 0.1188
0.5000 0.1188 0.6188
0.1188 0.6188 0.5000
0.0000 0.0000 0.0000
```


[2]
AcSb2Ru | PBE-GGA | relaxed

Values from the calculation:
Uncorrected energy: -0.4002 Ry per atom
ΔE_f (raw): -15 kJ/mol of formula units
Spin magnetization: 0.000 μB/atom
D(E_F): 4.86 states/eV/f.u.
Space-group type: No. 123

```
AcSb2Ru
1.0
-4.6826 -0.9735 0.2972
0.8477 -4.4004 -1.0573
0.4877 -0.9806 4.4722
Sb Ac Ru
2 1 1
Direct
0.0000 0.0000 0.5000
0.0000 0.5000 0.0000
0.5000 0.0000 0.0000
0.5000 0.5000 0.5000
```


[3]
Ac4Sb2Ru | PBE-GGA | relaxed

Values from the calculation:
Uncorrected energy: -0.4022 Ry per atom
ΔE_f (raw): -419 kJ/mol of formula units
Spin magnetization: 0.000 μB/atom
D(E_F): 5.90 states/eV/f.u.
Space-group type: No. 139

```
Ac4Sb2Ru
1.0
5.4100 0.0000 0.0000
0.0000 5.4100 0.0000
-2.7050 -2.7050 8.8982
Ac Sb Ru
4 2 1
Direct
0.8272 0.8272 0.6543
0.5000 0.0000 0.0000
0.0000 0.5000 0.0000
0.1728 0.1728 0.3457
0.3623 0.3623 0.7246
0.6377 0.6377 0.2754
0.0000 0.0000 0.0000
```


[4]
AcSb3Ru | PBE-GGA | relaxed

Values from the calculation:
Uncorrected energy: -0.4165 Ry per atom
ΔE_f (raw): -249 kJ/mol of formula units
Spin magnetization: 0.000 μB/atom
D(E_F): 3.54 states/eV/f.u.
Space-group type: No. 31

```
AcSb3Ru
1.0
-1.3391 5.4499 -3.0295
-4.0868 -3.0147 -3.6168
-4.9394 1.2913 4.5058
Sb Ru Ac
6 2 2
Direct
0.9605 0.5150 0.9395
0.4606 0.8378 0.4397
0.8797 0.0729 0.7007
0.9606 0.5150 0.4619
0.3797 0.2799 0.2008
0.4605 0.8378 0.9620
0.1637 0.7790 0.7008
0.6637 0.5738 0.2008
0.9136 0.0426 0.2006
0.4136 0.3101 0.7009
```


[5]
AcSb3Ru | PBE-GGA | relaxed

Values from the calculation:
Uncorrected energy: -0.3876 Ry per atom
ΔE_f (raw): -59 kJ/mol of formula units
Spin magnetization: 0.001 μB/atom
D(E_F): 6.94 states/eV/f.u.
Space-group type: No. 221

```
AcSb3Ru
1.0
5.2396 0.0000 0.0000
0.0000 5.2396 0.0000
0.0000 0.0000 5.2396
Sb Ru Ac
3 1 1
Direct
0.5000 0.0000 0.0000
0.0000 0.0000 0.5000
0.0000 0.5000 0.0000
0.0000 0.0000 0.0000
0.5000 0.5000 0.5000
```


[6]
AcSbRu2 | PBE-GGA | relaxed

Values from the calculation:
Uncorrected energy: -0.5056 Ry per atom
ΔE_f (raw): -71 kJ/mol of formula units
Spin magnetization: 0.219 μB/atom
D(E_F): 5.87 states/eV/f.u.
Space-group type: No. 166

```
AcSbRu2
1.0
-1.9754 2.7673 3.0697
-1.6006 -1.7155 3.9343
3.4977 1.1805 4.6044
Ac Ru Sb
1 2 1
Direct
0.0000 0.0000 0.0000
0.8065 0.8065 0.5804
0.1935 0.1935 0.4196
0.5000 0.5000 0.5000
```


[7]
AcSbRuSe | PBE-GGA | relaxed

Values from the calculation:
Uncorrected energy: -0.4508 Ry per atom
ΔE_f (raw): -342 kJ/mol of formula units
Spin magnetization: 0.000 μB/atom
D(E_F): 1.59 states/eV/f.u.
Space-group type: No. 129

```
AcSbRuSe
1.0
4.6463 0.0000 0.0000
0.0000 4.6463 0.0000
0.0000 0.0000 9.5928
Ac Ru Sb Se
2 2 2 2
Direct
0.0000 0.5000 0.2911
0.5000 0.0000 0.7089
0.0000 0.0000 0.0000
0.5000 0.5000 0.0000
0.5000 0.0000 0.1352
0.0000 0.5000 0.8648
0.0000 0.0000 0.5000
0.5000 0.5000 0.5000
```


[8]
AcSnSb6Ru2 | PBE-GGA | relaxed

Values from the calculation:
Uncorrected energy: -0.3866 Ry per atom
ΔE_f (raw): -116 kJ/mol of formula units
Spin magnetization: 0.000 μB/atom
D(E_F): 3.87 states/eV/f.u.
Space-group type: No. 166

```
AcSnSb6Ru2
1.0
6.6521 0.0000 0.0000
3.3260 5.7609 0.0000
3.3261 1.9203 8.6272
Sb Ru Sn Ac
6 2 1 1
Direct
0.4300 0.9271 0.2128
0.9271 0.4301 0.2128
0.5699 0.5700 0.7872
0.0729 0.5699 0.7872
0.5700 0.0729 0.7872
0.4301 0.4300 0.2128
0.3339 0.3339 0.9983
0.6661 0.6661 0.0017
0.5000 0.5000 0.5000
0.0000 0.0000 0.0000
```


[9]
AcScRu2 | PBE-GGA | relaxed

Values from the calculation:
Uncorrected energy: -0.5398 Ry per atom
Spin magnetization: 0.000 μB/atom
D(E_F): 4.69 states/eV/f.u.
Formation energy: -9.27 kJ/mol of atoms
Space-group type: No. 123

```
AcScRu2
1.0
-0.7213 3.1592 -1.1547
0.3029 -1.1152 -3.2402
-6.7228 -1.5675 -0.0890
Sc Ru Ac
1 2 1
Direct
0.5000 0.5000 0.0000
0.0000 0.0000 0.2199
0.0000 0.0000 0.7801
0.5000 0.5000 0.5000
```


[10]
Ac2ScRu | PBE-GGA | relaxed

Values from the calculation:
Uncorrected energy: -0.4099 Ry per atom
Spin magnetization: 0.143 μB/atom
D(E_F): 5.71 states/eV/f.u.
Formation energy: 36.56 kJ/mol of atoms
Space-group type: No. 166

```
Ac2ScRu
1.0
-0.4109 -0.4466 -3.9242
2.7797 -1.9263 -2.0808
-4.2729 -9.7733 -0.4493
Ac Sc Ru
2 1 1
Direct
0.1106 0.1106 0.6682
0.8894 0.8894 0.3318
0.0000 0.0000 0.0000
0.5000 0.5000 0.5000
```


[11]
AcSc3Ru | PBE-GGA | relaxed

Values from the calculation:
Uncorrected energy: -0.4897 Ry per atom
Spin magnetization: 0.000 μB/atom
D(E_F): 4.86 states/eV/f.u.
Formation energy: -17.98 kJ/mol of atoms
Space-group type: No. 221

```
AcSc3Ru
1.0
-0.2489 -3.6666 -3.5917
4.5027 1.5702 -1.9149
2.4638 -3.2399 3.1367
Ru Sc Ac
1 3 1
Direct
0.0000 0.0000 0.0000
0.0000 0.5000 0.0000
0.0000 0.0000 0.5000
0.5000 0.0000 0.0000
0.5000 0.5000 0.5000
```


[12]
AcScRu2 | PBE-GGA | relaxed

Values from the calculation:
Uncorrected energy: -0.5420 Ry per atom
Spin magnetization: 0.000 μB/atom
D(E_F): 3.34 states/eV/f.u.
Formation energy: -12.19 kJ/mol of atoms
Space-group type: No. 225

```
AcScRu2
1.0
4.8598 0.0000 0.0000
2.4299 4.2087 0.0000
2.4299 1.4029 3.9680
Ru Sc Ac
2 1 1
Direct
0.7500 0.7500 0.7500
0.2500 0.2500 0.2500
0.5000 0.5000 0.5000
0.0000 0.0000 0.0000
```